1.
## CaTc2NiCl (PBE)

Data for a relaxed CaTc2NiCl crystal.

It has space group P4/mmm (No. 123), with a = 4.3582 Å, b = 4.3582 Å, c = 4.9576 Å, α = 90.00°, β = 90.00° and γ = 90.00°. The asymmetric unit holds Ca at (0.0000, 0.0000, 0.0000), Tc at (0.0000, 0.5000, 0.5000), Ni at (0.5000, 0.5000, 0.0000) and Cl at (0.0000, 0.0000, 0.5000).

The value obtained for the energy relative to the elements, uncorrected is 0.914 eV per atom. As for the energy: -5.158 eV per atom.

2.
## Ba2ZnCu (PBE)

Data for a relaxed Ba2ZnCu crystal.

It has space group I-4m2 (No. 119), with a = 4.7479 Å, b = 4.7479 Å, c = 12.0486 Å, α = 90.00°, β = 90.00° and γ = 90.00°. The asymmetric unit holds Ba at (0.0000, 0.0000, 0.0000), Ba at (0.0000, 0.5000, 0.2500), Zn at (0.0000, 0.0000, 0.5000) and Cu at (0.0000, 0.5000, 0.7500).

As for the energy: -2.163 eV per atom. For the formation enthalpy at 0 K, the calculation gives 0.14 eV per atom.

3.
## K2BeGe (PBE)

Data for a relaxed K2BeGe crystal.

It has space group I-42d (No. 122), with a = 12.5880 Å, b = 12.5880 Å, c = 4.1813 Å, α = 90.00°, β = 90.00° and γ = 90.00°. The asymmetric unit holds K at (0.0234, 0.2500, 0.1250), Be at (0.0000, 0.0000, 0.0000) and Ge at (0.0000, 0.0000, 0.5000).

As for the energy: -2.483 eV per atom. For the formation enthalpy at 0 K, the calculation gives 0.15 eV per atom.

Copy entry 3 word for word.
## K2BeGe (PBE)

Data for a relaxed K2BeGe crystal.

It has space group I-42d (No. 122), with a = 12.5880 Å, b = 12.5880 Å, c = 4.1813 Å, α = 90.00°, β = 90.00° and γ = 90.00°. The asymmetric unit holds K at (0.0234, 0.2500, 0.1250), Be at (0.0000, 0.0000, 0.0000) and Ge at (0.0000, 0.0000, 0.5000).

As for the energy: -2.483 eV per atom. For the formation enthalpy at 0 K, the calculation gives 0.15 eV per atom.

Repeat the third record exactly.
## K2BeGe (PBE)

Data for a relaxed K2BeGe crystal.

It has space group I-42d (No. 122), with a = 12.5880 Å, b = 12.5880 Å, c = 4.1813 Å, α = 90.00°, β = 90.00° and γ = 90.00°. The asymmetric unit holds K at (0.0234, 0.2500, 0.1250), Be at (0.0000, 0.0000, 0.0000) and Ge at (0.0000, 0.0000, 0.5000).

As for the energy: -2.483 eV per atom. For the formation enthalpy at 0 K, the calculation gives 0.15 eV per atom.

> Which value of energy does entry 3 give?

-2.483 eV per atom

> energy of number 1 (CaTc2NiCl)?

-5.158 eV per atom